First-principles (PBE with a Hubbard U) data for a relaxed Sr3AlV2O9 crystal, as listed in the Alexandria database.

```
Sr3AlV2O9
1.0
5.473 0.000 0.000
-2.736 4.740 0.000
0.000 0.000 6.667
O Sr Al V
9 3 1 2
Direct
0.668 0.834 0.333 O
0.166 0.834 0.333 O
0.000 0.500 0.000 O
0.500 0.500 0.000 O
0.834 0.166 0.667 O
0.834 0.668 0.667 O
0.500 0.000 0.000 O
0.332 0.166 0.667 O
0.166 0.332 0.333 O
0.333 0.667 0.668 Sr
0.667 0.333 0.332 Sr
0.000 0.000 0.000 Sr
0.000 0.000 0.500 Al
0.667 0.333 0.825 V
0.333 0.667 0.175 V
```

Values from the calculation:
Total DFT energy (no corrections) in eV per atom: -7.157